Record 1
Crystalline Ti2SnPb at its relaxed geometry. Source: Alexandria via LeMat-Bulk, functional PBE-GGA.

Unit cell a=4.876 b=4.876 c=4.876 alpha=60.00 beta=60.00 gamma=60.00
Fractional positions:
Pb 0.500 0.500 0.500
Sn 0.000 0.000 0.000
Ti 0.250 0.250 0.250
Ti 0.750 0.750 0.750

Summary:
DFT formation energy	0.09	eV/atom
SG	Fm-3m, No. 225
E	-5.787	eV per atom
ΔE to the lowest computed polymorph	89	meV/atom
density of states at the Fermi level	5.37	states/eV/cell

***

Record 2
Crystalline Ti15Sn2Pb2 at its relaxed geometry. Source: Alexandria via LeMat-Bulk, functional PBE-GGA.

Unit cell a=7.245 b=7.245 c=7.245 alpha=78.92 beta=78.92 gamma=78.92
Fractional positions:
Ti 0.500 0.000 0.000
Ti 0.000 0.000 0.500
Ti 0.000 0.500 0.000
Ti 0.000 0.309 0.691
Ti 0.309 0.691 0.000
Ti 0.691 0.000 0.309
Ti 0.691 0.309 0.000
Ti 0.309 0.000 0.691
Ti 0.000 0.691 0.309
Ti 0.836 0.371 0.371
Ti 0.371 0.371 0.836
Ti 0.371 0.836 0.371
Ti 0.164 0.629 0.629
Ti 0.629 0.629 0.164
Ti 0.629 0.164 0.629
Sn 0.663 0.663 0.663
Sn 0.337 0.337 0.337
Pb 0.897 0.897 0.897
Pb 0.103 0.103 0.103

Summary:
DFT formation energy	0.24	eV/atom
SG	R-3m, No. 166
E	-6.809	eV per atom
density of states at the Fermi level	24.43	states/eV/cell

***

Record 3
Crystalline Ti4SnPb at its relaxed geometry. Source: Alexandria via LeMat-Bulk, functional PBE-GGA.

Unit cell a=4.605 b=8.837 c=5.727 alpha=90.00 beta=90.00 gamma=89.99
Fractional positions:
Ti 0.250 0.384 0.750
Ti 0.750 0.616 0.250
Ti 0.250 0.083 0.750
Ti 0.750 0.917 0.250
Ti 0.250 0.759 0.013
Ti 0.750 0.241 0.513
Ti 0.250 0.759 0.487
Ti 0.750 0.241 0.987
Sn 0.750 0.916 0.750
Sn 0.250 0.084 0.250
Pb 0.750 0.570 0.750
Pb 0.250 0.430 0.250

Summary:
DFT formation energy	-0.08	eV/atom
SG	Pmmn, No. 59
E	-6.630	eV per atom
ΔE to the lowest computed polymorph	0	meV/atom
density of states at the Fermi level	12.33	states/eV/cell